Entry 1:
Material: SbPtSe2Br
Method: DFT, PBE
State: relaxed

Cell lengths 5.0000, 5.0000, 5.0402 Å; angles 90.00, 90.00, 90.00 degrees
Atoms (fractional coordinates):
Sb1 0.0000 0.0000 0.0000
Pt1 0.5000 0.5000 0.5000
Se1 0.0000 0.5000 0.5000
Se2 0.5000 0.0000 0.5000
Br1 0.5000 0.5000 0.0000

- SG: P4/mmm
- Formation energy from raw total energies: 0.267 eV/atom
- M_tot: 0.00 μB per cell
- Calculated density: 7.31 g/cm3

=====

Entry 2:
Material: Tb4C2I3
Method: DFT, PBE
State: relaxed

Cell lengths 7.6697, 7.6697, 9.1262 Å; angles 104.42, 104.42, 27.77 degrees
Atoms (fractional coordinates):
Tb1 0.0976 0.0976 0.2161
Tb2 0.3123 0.3123 0.4070
Tb3 0.6877 0.6877 0.5930
Tb4 0.9024 0.9024 0.7839
C1 0.3055 0.3055 0.6637
C2 0.6945 0.6945 0.3363
I1 0.0000 0.0000 0.5000
I2 0.4005 0.4005 0.0945
I3 0.5995 0.5995 0.9055

- SG: C2/m
- Formation energy from raw total energies: -0.718 eV/atom
- M_tot: 0.00 μB per cell
- Calculated density: 7.15 g/cm3

=====

Entry 3:
Material: Nb3Ir2Pd
Method: DFT, PBE
State: relaxed

Cell lengths 6.2724, 6.2724, 5.3241 Å; angles 90.00, 90.00, 89.11 degrees
Atoms (fractional coordinates):
Nb1 0.0873 0.9127 0.7500
Nb2 0.0901 0.5953 0.2500
Nb3 0.4047 0.9099 0.2500
Nb4 0.5953 0.0901 0.7500
Nb5 0.9099 0.4047 0.7500
Nb6 0.9127 0.0873 0.2500
Ir1 0.2478 0.2478 0.0000
Ir2 0.2478 0.2478 0.5000
Ir3 0.7522 0.7522 0.0000
Ir4 0.7522 0.7522 0.5000
Pd1 0.3858 0.6142 0.7500
Pd2 0.6142 0.3858 0.2500

- SG: Cmcm
- M_tot: 0.00 μB per cell
- Calculated density: 12.20 g/cm3
- ΔH_f (0 K): -0.29 eV per atom

=====

Entry 4:
Material: MnGaSiRu
Method: DFT, PBE
State: relaxed

Cell lengths 4.1695, 4.1695, 4.1695 Å; angles 60.00, 60.00, 60.00 degrees
Atoms (fractional coordinates):
Mn1 0.0000 0.0000 0.0000
Ga1 0.2500 0.2500 0.2500
Si1 0.7500 0.7500 0.7500
Ru1 0.5000 0.5000 0.5000

- SG: F-43m
- Formation energy from raw total energies: -0.259 eV/atom
- M_tot: 1.79 μB per cell
- Calculated density: 8.22 g/cm3

=====

Entry 5:
Material: Tm3Mg2Pt3
Method: DFT, PBE
State: relaxed

Cell lengths 8.2960, 8.2960, 5.6830 Å; angles 90.00, 90.00, 120.00 degrees
Atoms (fractional coordinates):
Tm1 0.0000 0.2704 0.2500
Tm2 0.0000 0.7296 0.7500
Tm3 0.2704 0.0000 0.2500
Tm4 0.2704 0.2704 0.7500
Tm5 0.7296 0.0000 0.7500
Tm6 0.7296 0.7296 0.2500
Mg1 0.3333 0.6667 0.0000
Mg2 0.3333 0.6667 0.5000
Mg3 0.6667 0.3333 0.0000
Mg4 0.6667 0.3333 0.5000
Pt1 0.0000 0.3862 0.7500
Pt2 0.0000 0.6138 0.2500
Pt3 0.3862 0.0000 0.7500
Pt4 0.3862 0.3862 0.2500
Pt5 0.6138 0.0000 0.2500
Pt6 0.6138 0.6138 0.7500

- SG: P6_3/mcm
- M_tot: 0.00 μB per cell
- Calculated density: 11.18 g/cm3
- ΔH_f (0 K): -1.06 eV per atom